First-principles (PBE) data for a relaxed KTc4 crystal, as listed in Alexandria.

The calculation puts the raw total energy at -5.34 eV/atom. For the calculated formation energy, the calculation gives 15.8 eV/f.u. The value obtained for the spin magnetization is 1.2 μB/cell. Its density of states at the Fermi level is 5.393 states/eV/cell.

The space group is Pm-3m (No. 221) and the conventional cell measures 4.416, 4.416 and 4.416 Å, with angles of 90.00, 90.00 and 90.00 degrees. The inequivalent atoms are K at (0.000, 0.000, 0.000), Tc at (0.000, 0.000, 0.500) and Tc at (0.500, 0.500, 0.500).


First-principles (PBE) data for a relaxed K4Tc crystal, as listed in Alexandria.

The calculation puts the raw total energy at -1.95 eV/atom. For the calculated formation energy, the calculation gives 5.0 eV/f.u. Its distance to the lowest polymorph of the same formula is 88 meV/atom. The value obtained for the spin magnetization is 3.3 μB/cell. Its density of states at the Fermi level is 11.880 states/eV/cell.

The space group is Pm-3m (No. 221) and the conventional cell measures 6.701, 6.701 and 6.701 Å, with angles of 90.00, 90.00 and 90.00 degrees. The inequivalent atoms are K at (0.000, 0.000, 0.000), K at (0.000, 0.500, 0.500) and Tc at (0.500, 0.500, 0.500).


First-principles (PBE) data for a relaxed KTc5 crystal, as listed in Alexandria.

The calculation puts the raw total energy at -8.23 eV/atom. For the calculated formation energy, the calculation gives 3.5 eV/f.u. Its distance to the lowest polymorph of the same formula is 0 meV/atom. The value obtained for the spin magnetization is 0.0 μB/cell. Its density of states at the Fermi level is 14.973 states/eV/cell.

The space group is Amm2 (No. 38) and the conventional cell measures 4.239, 2.773 and 19.915 Å, with angles of 90.00, 90.00 and 90.00 degrees. The inequivalent atoms are K at (0.000, 0.000, 0.000), Tc at (0.000, 0.000, 0.319), Tc at (0.000, 0.000, 0.697), Tc at (0.500, 0.000, 0.243), Tc at (0.500, 0.000, 0.627) and Tc at (0.500, 0.000, 0.860).


First-principles (PBE) data for a relaxed K3Tc crystal, as listed in Alexandria.

The calculation puts the raw total energy at -2.22 eV/atom. For the calculated formation energy, the calculation gives 4.8 eV/f.u. Its distance to the lowest polymorph of the same formula is 64 meV/atom. The value obtained for the spin magnetization is 8.7 μB/cell. Its density of states at the Fermi level is 14.199 states/eV/cell.

The space group is R-3m (No. 166, hexagonal axes) and the conventional cell measures 3.7520, 3.7520 and 41.6078 Å, with angles of 90.00, 90.00 and 120.00 degrees. The inequivalent atoms are K at (0.0000, 0.0000, 0.0000), K at (0.0000, 0.0000, 0.2312) and Tc at (0.0000, 0.0000, 0.5000).